# 1
VASP calculation (PBE-GGA) on a relaxed LaTb2Zn2Ge2 crystal.

It has space group R-3m (No. 166, hexagonal axes), with a = 4.1840 Å, b = 4.1840 Å, c = 34.2338 Å, α = 90.00°, β = 90.00° and γ = 120.00°. The asymmetric unit holds La at (0.0000, 0.0000, 0.0000), Tb at (0.0000, 0.0000, 0.1245), Zn at (0.0000, 0.0000, 0.3954) and Ge at (0.0000, 0.0000, 0.2640).

The value obtained for the raw total energy is -4.18 eV per atom.


# 2
VASP calculation (PBE-GGA) on a relaxed La3TcGe2 crystal.

It has space group Pnma (No. 62), with a = 12.398 Å, b = 4.490 Å, c = 11.526 Å, α = 90.00°, β = 90.00° and γ = 90.00°. The asymmetric unit holds La at (0.060, 0.250, 0.119), La at (0.120, 0.750, 0.553), La at (0.219, 0.250, 0.790), Tc at (0.118, 0.250, 0.352), Ge at (0.024, 0.750, 0.307) and Ge at (0.205, 0.750, 0.984).

The value obtained for the raw total energy is -6.31 eV per atom.


# 3
VASP calculation (PBE-GGA) on a relaxed LaTcGe crystal.

It has space group P-6m2 (No. 187), with a = 4.3245 Å, b = 4.3245 Å, c = 4.2314 Å, α = 90.00°, β = 90.00° and γ = 120.00°. The asymmetric unit holds La at (0.0000, 0.0000, 0.0000), Tc at (0.6667, 0.3333, 0.5000) and Ge at (0.3333, 0.6667, 0.5000).

The value obtained for the raw total energy is -6.94 eV per atom. The value obtained for the excess energy over the best structure of this formula in the dataset is 164.4 meV/atom.


# 4
VASP calculation (PBE-GGA) on a relaxed La2Tc2Ge crystal.

It has space group P4/mbm (No. 127), with a = 8.777 Å, b = 8.777 Å, c = 3.279 Å, α = 90.00°, β = 90.00° and γ = 90.00°. The asymmetric unit holds La at (0.193, 0.307, 0.000), Tc at (0.089, 0.589, 0.500) and Ge at (0.000, 0.000, 0.000).

The value obtained for the raw total energy is -6.61 eV per atom. The value obtained for the excess energy over the best structure of this formula in the dataset is 574.0 meV/atom.


# 5
VASP calculation (PBE-GGA) on a relaxed La3Tc3Ge8 crystal.

It has space group Immm (No. 71), with a = 4.381 Å, b = 10.391 Å, c = 12.405 Å, α = 90.00°, β = 90.00° and γ = 90.00°. The asymmetric unit holds La at (0.000, 0.000, 0.000), La at (0.000, 0.000, 0.326), Tc at (0.000, 0.227, 0.500), Tc at (0.000, 0.500, 0.000), Ge at (0.000, 0.293, 0.116) and Ge at (0.000, 0.368, 0.334).

The value obtained for the raw total energy is -6.30 eV per atom.


# 6
VASP calculation (PBE-GGA) on a relaxed LaTcGe2 crystal.

It has space group C2/c (No. 15), with a = 6.282 Å, b = 10.842 Å, c = 5.832 Å, α = 90.00°, β = 121.43° and γ = 90.00°. The asymmetric unit holds La at (0.000, 0.123, 0.250), Tc at (0.000, 0.216, 0.750) and Ge at (0.096, 0.390, 0.074).

The value obtained for the raw total energy is -6.67 eV per atom. The value obtained for the excess energy over the best structure of this formula in the dataset is 9.2 meV/atom.


| no. | formation energy from the elements (meV per atom) | D(E_F) (states/eV/atom) |
| --- | --- | --- |
| 1 | -472 | 1.014 |
| 2 | -584 | 0.821 |
| 3 | -301 | 1.060 |
| 4 | 436 | 1.386 |
| 5 | -386 | 0.578 |
| 6 | -539 | 0.436 |